VASP calculation (GGA-PBE) on a relaxed structure of CaU4P5.

The structure in CIF format:
```
data_CaU4P5
_cell_length_a 3.955
_cell_length_b 5.590
_cell_length_c 19.953
_cell_angle_alpha 90.00
_cell_angle_beta 90.00
_cell_angle_gamma 90.00
_symmetry_space_group_name_H-M 'I m m m'
_symmetry_Int_Tables_number 71
_symmetry_space_group_name_Hall '-I 2 2'
loop_
_atom_site_label
_atom_site_fract_x
_atom_site_fract_y
_atom_site_fract_z
Ca1 0.000 0.000 0.000
U1 0.000 0.000 0.203
U2 0.000 0.000 0.400
P1 0.000 0.500 0.000
P2 0.000 0.500 0.198
P3 0.000 0.500 0.394
```

Output
ΔE_f: -986 meV per atom
Total energy: -168.12 eV/cell
Magnetic moment: 8.63 μB per formula unit
Crystal system: orthorhombic